(1)
This record from the Alexandria database describes an optimized crystal structure of PmSiHgAu. The functional is PBE.

The structure in CIF format:
```
data_PmSiHgAu
_symmetry_space_group_name_H-M 'P 1'
_symmetry_Int_Tables_number 1
_cell_length_a 4.9980
_cell_length_b 4.9980
_cell_length_c 4.9980
_cell_angle_alpha 60.00
_cell_angle_beta 60.00
_cell_angle_gamma 60.00
loop_
_symmetry_equiv_pos_as_xyz
'x,y,z'
loop_
_atom_site_label
_atom_site_type_symbol
_atom_site_fract_x
_atom_site_fract_y
_atom_site_fract_z
Si1 Si 0.5000 0.5000 0.5000
Au1 Au 0.7500 0.7500 0.7500
Hg1 Hg 0.2500 0.2500 0.2500
Pm1 Pm 0.0000 0.0000 0.0000
```

## Properties
uncorrected formation energy = -6.56 kcal/mol of atoms
volume = 88 Å³ per cell
spin magnetization = 0.00 μB per formula unit
space group = No. 216
crystal system = cubic



(2)
This record from the Alexandria database describes an optimized crystal structure of TlHgBr2. The functional is PBE.

The structure in CIF format:
```
data_TlHgBr2
_symmetry_space_group_name_H-M 'P 1'
_symmetry_Int_Tables_number 1
_cell_length_a 5.4186
_cell_length_b 4.2121
_cell_length_c 6.6708
_cell_angle_alpha 71.14
_cell_angle_beta 90.00
_cell_angle_gamma 90.00
loop_
_symmetry_equiv_pos_as_xyz
'x,y,z'
loop_
_atom_site_label
_atom_site_type_symbol
_atom_site_fract_x
_atom_site_fract_y
_atom_site_fract_z
Tl1 Tl 0.5000 0.6415 0.8439
Hg1 Hg 0.0000 0.3908 0.3436
Br1 Br 0.0000 0.0973 0.9304
Br2 Br 0.5000 0.3705 0.3822
```

## Properties
uncorrected formation energy = -12.01 kcal/mol of atoms
volume = 144 Å³ per cell
E above lowest polymorph = 0.0 meV/atom
spin magnetization = 0.00 μB per formula unit
space group = No. 6
crystal system = monoclinic



(3)
This record from the Alexandria database describes an optimized crystal structure of Nd6SmHo6. The functional is PBE.

The structure in CIF format:
```
data_Nd6SmHo6
_symmetry_space_group_name_H-M 'P 1'
_symmetry_Int_Tables_number 1
_cell_length_a 6.7359
_cell_length_b 6.7359
_cell_length_c 11.4472
_cell_angle_alpha 90.00
_cell_angle_beta 90.00
_cell_angle_gamma 119.99
loop_
_symmetry_equiv_pos_as_xyz
'x,y,z'
loop_
_atom_site_label
_atom_site_type_symbol
_atom_site_fract_x
_atom_site_fract_y
_atom_site_fract_z
Nd1 Nd 0.0000 0.0000 0.6538
Nd2 Nd 0.0000 0.0000 0.3462
Nd3 Nd 0.3334 0.6666 0.0000
Nd4 Nd 0.6666 0.3334 0.0000
Nd5 Nd 0.3332 0.6668 0.5000
Nd6 Nd 0.6668 0.3332 0.5000
Sm1 Sm 0.0000 0.0000 0.0000
Ho1 Ho 0.0000 0.5000 0.7527
Ho2 Ho 0.5000 0.0000 0.7527
Ho3 Ho 0.5000 0.5000 0.7526
Ho4 Ho 0.5000 0.0000 0.2473
Ho5 Ho 0.0000 0.5000 0.2473
Ho6 Ho 0.5000 0.5000 0.2474
```

## Properties
energy of formation from the pure elements = 0.259 eV per atom
volume = 450 Å³ per cell
spin magnetization = 0.02 μB per formula unit
space group = No. 191
crystal system = hexagonal



(4)
This record from the Alexandria database describes an optimized crystal structure of NbFeGeH. The functional is PBE.

The structure in CIF format:
```
data_NbFeGeH
_symmetry_space_group_name_H-M 'P 1'
_symmetry_Int_Tables_number 1
_cell_length_a 5.4261
_cell_length_b 4.1881
_cell_length_c 4.2572
_cell_angle_alpha 90.00
_cell_angle_beta 109.65
_cell_angle_gamma 90.00
loop_
_symmetry_equiv_pos_as_xyz
'x,y,z'
loop_
_atom_site_label
_atom_site_type_symbol
_atom_site_fract_x
_atom_site_fract_y
_atom_site_fract_z
Nb1 Nb 0.7019 0.0000 0.5242
Nb2 Nb 0.7019 0.5000 0.0242
Fe1 Fe 0.3297 0.0000 0.8756
Fe2 Fe 0.3297 0.5000 0.3756
Ge1 Ge 0.1036 0.0000 0.2752
Ge2 Ge 0.1036 0.5000 0.7752
H1 H 0.6415 0.0000 0.9843
H2 H 0.6415 0.5000 0.4843
```

## Properties
volume = 91 Å³ per cell
E above lowest polymorph = 84.6 meV/atom
spin magnetization = 0.39 μB per formula unit
space group = No. 8
crystal system = monoclinic



(5)
This record from the Alexandria database describes an optimized crystal structure of BaSnBi3. The functional is PBE.

The structure in CIF format:
```
data_BaSnBi3
_symmetry_space_group_name_H-M 'P 1'
_symmetry_Int_Tables_number 1
_cell_length_a 6.2621
_cell_length_b 6.2621
_cell_length_c 6.2621
_cell_angle_alpha 90.00
_cell_angle_beta 90.00
_cell_angle_gamma 90.00
loop_
_symmetry_equiv_pos_as_xyz
'x,y,z'
loop_
_atom_site_label
_atom_site_type_symbol
_atom_site_fract_x
_atom_site_fract_y
_atom_site_fract_z
Bi1 Bi 0.0000 0.5000 0.0000
Bi2 Bi 0.0000 0.0000 0.5000
Bi3 Bi 0.5000 0.0000 0.0000
Sn1 Sn 0.5000 0.5000 0.5000
Ba1 Ba 0.0000 0.0000 0.0000
```

## Properties
energy of formation from the pure elements = 0.866 eV per atom
volume = 246 Å³ per cell
E above lowest polymorph = 1145.6 meV/atom
spin magnetization = 0.00 μB per formula unit
space group = No. 221
crystal system = cubic



(6)
This record from the Alexandria database describes an optimized crystal structure of LaTbDyTm3. The functional is PBE.

The structure in CIF format:
```
data_LaTbDyTm3
_symmetry_space_group_name_H-M 'P 1'
_symmetry_Int_Tables_number 1
_cell_length_a 5.7991
_cell_length_b 6.4205
_cell_length_c 11.6045
_cell_angle_alpha 90.00
_cell_angle_beta 90.00
_cell_angle_gamma 116.85
loop_
_symmetry_equiv_pos_as_xyz
'x,y,z'
loop_
_atom_site_label
_atom_site_type_symbol
_atom_site_fract_x
_atom_site_fract_y
_atom_site_fract_z
La1 La 0.5056 0.0113 0.7500
La2 La 0.4944 0.9887 0.2500
Tb1 Tb 0.0000 0.0000 0.5000
Tb2 Tb 0.0000 0.0000 0.0000
Dy1 Dy 0.8251 0.6501 0.7500
Dy2 Dy 0.1749 0.3499 0.2500
Tm1 Tm 0.6752 0.3503 0.4953
Tm2 Tm 0.3248 0.6497 0.5047
Tm3 Tm 0.3248 0.6497 0.9953
Tm4 Tm 0.6752 0.3503 0.0047
Tm5 Tm 0.1679 0.3357 0.7500
Tm6 Tm 0.8321 0.6643 0.2500
```

## Properties
energy of formation from the pure elements = 0.117 eV per atom
volume = 386 Å³ per cell
spin magnetization = 0.01 μB per formula unit
space group = No. 63
crystal system = orthorhombic



(7)
This record from the Alexandria database describes an optimized crystal structure of KIn2SBr. The functional is PBE.

The structure in CIF format:
```
data_KIn2SBr
_symmetry_space_group_name_H-M 'P 1'
_symmetry_Int_Tables_number 1
_cell_length_a 6.4440
_cell_length_b 5.4664
_cell_length_c 6.4440
_cell_angle_alpha 90.00
_cell_angle_beta 90.00
_cell_angle_gamma 90.00
loop_
_symmetry_equiv_pos_as_xyz
'x,y,z'
loop_
_atom_site_label
_atom_site_type_symbol
_atom_site_fract_x
_atom_site_fract_y
_atom_site_fract_z
K1 K 0.0000 0.0000 0.0000
S1 S 0.5000 0.5000 0.5000
Br1 Br 0.0000 0.5000 0.0000
In1 In 0.0000 0.0000 0.5000
In2 In 0.5000 0.0000 0.0000
```

## Properties
uncorrected formation energy = 8.49 kcal/mol of atoms
volume = 227 Å³ per cell
spin magnetization = 0.14 μB per formula unit
space group = No. 123
crystal system = tetragonal



(8)
This record from the Alexandria database describes an optimized crystal structure of PrY2Ga6. The functional is PBE.

The structure in CIF format:
```
data_PrY2Ga6
_symmetry_space_group_name_H-M 'P 1'
_symmetry_Int_Tables_number 1
_cell_length_a 4.2146
_cell_length_b 7.3421
_cell_length_c 7.3421
_cell_angle_alpha 120.00
_cell_angle_beta 90.00
_cell_angle_gamma 90.00
loop_
_symmetry_equiv_pos_as_xyz
'x,y,z'
loop_
_atom_site_label
_atom_site_type_symbol
_atom_site_fract_x
_atom_site_fract_y
_atom_site_fract_z
Pr1 Pr 0.0000 0.0000 0.0000
Y1 Y 0.0000 0.3333 0.6667
Y2 Y 0.0000 0.6667 0.3333
Ga1 Ga 0.5000 0.3348 0.3348
Ga2 Ga 0.5000 0.6652 0.6652
Ga3 Ga 0.5000 0.0000 0.6652
Ga4 Ga 0.5000 0.6652 0.0000
Ga5 Ga 0.5000 0.3348 0.0000
Ga6 Ga 0.5000 0.0000 0.3348
```

## Properties
energy of formation from the pure elements = -0.664 eV per atom
volume = 197 Å³ per cell
E above lowest polymorph = 0.0 meV/atom
spin magnetization = 0.00 μB per formula unit
space group = No. 191
crystal system = hexagonal